An optimized crystal structure of La2C2O. Source: Alexandria via LeMat-Bulk, functional GGA-PBE.

```
La2C2O
1.0
-2.3615 2.3615 3.7242
2.3615 -2.3615 3.7242
2.3615 2.3615 -3.7242
La C O
2 2 1
Direct
0.2500 0.7500 0.5000
0.7500 0.2500 0.5000
0.0878 0.0878 0.0000
0.9122 0.9122 0.0000
0.5000 0.5000 0.0000
```

Space-group type: No. 139
Energy relative to the elements, uncorrected, eV/f.u.: -3.04
Magnetization, μB/f.u.: 0.00
Energy above the most stable polymorph in this dataset, kJ per mole of atoms: 58.7

***

An optimized crystal structure of LaPb2CO. Source: Alexandria via LeMat-Bulk, functional GGA-PBE.

```
LaPb2CO
1.0
4.7505 0.0000 0.0000
0.0000 4.7505 0.0000
0.0000 0.0000 5.0200
La Pb C O
1 2 1 1
Direct
0.0000 0.0000 0.0000
0.0000 0.5000 0.5000
0.5000 0.0000 0.5000
0.5000 0.5000 0.5000
0.5000 0.5000 0.0000
```

Space-group type: No. 123
Energy relative to the elements, uncorrected, eV/f.u.: 3.88
Magnetization, μB/f.u.: 0.00

***

An optimized crystal structure of LaPdC2O6. Source: Alexandria via LeMat-Bulk, functional GGA-PBE.

```
LaPdC2O6
1.0
2.6066 1.5049 5.7455
-2.6066 1.5049 5.7455
0.0000 -3.0098 5.7455
La Pd C O
1 1 2 6
Direct
0.0000 0.0000 0.0000
0.5000 0.5000 0.5000
0.2509 0.2509 0.2509
0.7491 0.7491 0.7491
0.0009 0.2545 0.4997
0.2545 0.4997 0.0009
0.4997 0.0009 0.2545
0.5003 0.9991 0.7455
0.7455 0.5003 0.9991
0.9991 0.7455 0.5003
```

Space-group type: No. 148
Energy relative to the elements, uncorrected, eV/f.u.: -16.22
Magnetization, μB/f.u.: 1.00

***

An optimized crystal structure of LaPmCO. Source: Alexandria via LeMat-Bulk, functional GGA-PBE.

```
LaPmCO
1.0
4.3005 0.0000 0.0000
-2.1502 3.7243 0.0000
0.0000 0.0000 5.2547
La Pm C O
1 1 1 1
Direct
0.0000 0.0000 0.0000
0.3333 0.6667 0.5000
0.0000 0.0000 0.5000
0.3333 0.6667 0.0000
```

Space-group type: No. 187
Energy relative to the elements, uncorrected, eV/f.u.: -5.62
Magnetization, μB/f.u.: 0.00

***

An optimized crystal structure of La4CSO2. Source: Alexandria via LeMat-Bulk, functional GGA-PBE.

```
La4CSO2
1.0
6.5669 0.0000 0.0000
0.0000 3.8527 0.0000
-2.2745 0.0000 6.3720
La C S O
4 1 1 2
Direct
0.2342 0.0000 0.2260
0.2417 0.5000 0.7622
0.7583 0.5000 0.2378
0.7658 0.0000 0.7740
0.5000 0.0000 0.0000
0.5000 0.5000 0.5000
0.0000 0.0000 0.5000
0.0000 0.5000 0.0000
```

Space-group type: No. 10
Energy relative to the elements, uncorrected, eV/f.u.: -15.58
Magnetization, μB/f.u.: 0.00

***

An optimized crystal structure of La9Sb5CO4. Source: Alexandria via LeMat-Bulk, functional GGA-PBE.

```
La9Sb5CO4
1.0
10.5430 0.0000 0.0000
0.0000 10.5430 0.0000
0.0000 0.0000 9.5096
La Sb C O
18 10 2 8
Direct
0.0236 0.1709 0.0028
0.0458 0.6455 0.6608
0.1455 0.9542 0.3392
0.1709 0.4764 0.0028
0.2500 0.2500 0.6833
0.3291 0.0236 0.0028
0.3545 0.5458 0.3392
0.4542 0.8545 0.6608
0.4764 0.3291 0.0028
0.5236 0.6709 0.9972
0.5458 0.1455 0.3392
0.6455 0.4542 0.6608
0.6709 0.9764 0.9972
0.7500 0.7500 0.3167
0.8291 0.5236 0.9972
0.8545 0.0458 0.6608
0.9542 0.3545 0.3392
0.9764 0.8291 0.9972
0.0558 0.6523 0.3028
0.1523 0.9442 0.6972
0.2500 0.2500 0.3171
0.3477 0.5558 0.6972
0.4442 0.8477 0.3028
0.5558 0.1523 0.6972
0.6523 0.4442 0.3028
0.7500 0.7500 0.6829
0.8477 0.0558 0.3028
0.9442 0.3477 0.6972
0.2500 0.2500 0.9325
0.7500 0.7500 0.0675
0.0240 0.6286 0.9025
0.1286 0.9760 0.0975
0.3714 0.5240 0.0975
0.4760 0.8714 0.9025
0.5240 0.1286 0.0975
0.6286 0.4760 0.9025
0.8714 0.0240 0.9025
0.9760 0.3714 0.0975
```

Space-group type: No. 85
Energy relative to the elements, uncorrected, eV/f.u.: -36.71
Magnetization, μB/f.u.: 0.00

***

An optimized crystal structure of La14Sb8CO7. Source: Alexandria via LeMat-Bulk, functional GGA-PBE.

```
La14Sb8CO7
1.0
13.2309 0.0000 0.0000
0.0000 13.2309 0.0000
0.0000 0.0000 9.5090
La Sb C O
28 16 2 14
Direct
0.0000 0.0000 0.0000
0.0000 0.5000 0.9739
0.0099 0.2494 0.6530
0.1094 0.3906 0.3117
0.1152 0.8459 0.3200
0.1541 0.1152 0.3200
0.2494 0.7494 0.9841
0.2494 0.9901 0.6530
0.2506 0.2494 0.9841
0.2506 0.4901 0.6530
0.3459 0.6152 0.3200
0.3848 0.3459 0.3200
0.3906 0.8906 0.3117
0.4901 0.7494 0.6530
0.5000 0.0000 0.9739
0.5000 0.5000 0.0000
0.5099 0.2506 0.6530
0.6094 0.1094 0.3117
0.6152 0.6541 0.3200
0.6541 0.3848 0.3200
0.7494 0.5099 0.6530
0.7494 0.7506 0.9841
0.7506 0.0099 0.6530
0.7506 0.2506 0.9841
0.8459 0.8848 0.3200
0.8848 0.1541 0.3200
0.8906 0.6094 0.3117
0.9901 0.7506 0.6530
0.0000 0.0000 0.6221
0.0000 0.5000 0.6140
0.0012 0.2504 0.0110
0.2406 0.7406 0.6277
0.2496 0.4988 0.0110
0.2504 0.9988 0.0110
0.2594 0.2406 0.6277
0.4988 0.7504 0.0110
0.5000 0.0000 0.6140
0.5000 0.5000 0.6221
0.5012 0.2496 0.0110
0.7406 0.7594 0.6277
0.7496 0.0012 0.0110
0.7504 0.5012 0.0110
0.7594 0.2594 0.6277
0.9988 0.7496 0.0110
0.0000 0.0000 0.2500
0.5000 0.5000 0.2500
0.0000 0.5000 0.2093
0.0288 0.2407 0.4095
0.2363 0.2637 0.2249
0.2407 0.9712 0.4095
0.2593 0.4712 0.4095
0.2637 0.7637 0.2249
0.4712 0.7407 0.4095
0.5000 0.0000 0.2093
0.5288 0.2593 0.4095
0.7363 0.2363 0.2249
0.7407 0.5288 0.4095
0.7593 0.0288 0.4095
0.7637 0.7363 0.2249
0.9712 0.7593 0.4095
```

Space-group type: No. 100
Energy relative to the elements, uncorrected, eV/f.u.: -61.94
Magnetization, μB/f.u.: 0.00

***

An optimized crystal structure of La2CSeO. Source: Alexandria via LeMat-Bulk, functional GGA-PBE.

```
La2CSeO
1.0
4.9948 0.0000 0.0000
0.0000 4.9948 0.0000
0.0000 0.0000 4.1299
La C Se O
2 1 1 1
Direct
0.0000 0.5000 0.0000
0.5000 0.0000 0.0000
0.0000 0.0000 0.5000
0.5000 0.5000 0.5000
0.5000 0.5000 0.0000
```

Space-group type: No. 123
Energy relative to the elements, uncorrected, eV/f.u.: -2.02
Magnetization, μB/f.u.: 0.43
Energy above the most stable polymorph in this dataset, kJ per mole of atoms: 0.0

***

An optimized crystal structure of LaSmCO. Source: Alexandria via LeMat-Bulk, functional GGA-PBE.

```
LaSmCO
1.0
4.2843 0.0000 0.0000
-2.1421 3.7103 0.0000
0.0000 0.0000 5.2441
La Sm C O
1 1 1 1
Direct
0.0000 0.0000 0.0000
0.3333 0.6667 0.5000
0.0000 0.0000 0.5000
0.3333 0.6667 0.0000
```

Space-group type: No. 187
Energy relative to the elements, uncorrected, eV/f.u.: -5.67
Magnetization, μB/f.u.: 0.00

***

An optimized crystal structure of LaSnCO2. Source: Alexandria via LeMat-Bulk, functional GGA-PBE.

```
LaSnCO2
1.0
4.1602 0.0000 0.0000
0.0000 4.1602 0.0000
0.0000 0.0000 9.2808
La Sn C O
1 1 1 2
Direct
0.0000 0.0000 0.0000
0.0000 0.0000 0.5000
0.5000 0.5000 0.5000
0.0000 0.5000 0.0000
0.5000 0.0000 0.0000
```

Space-group type: No. 123
Energy relative to the elements, uncorrected, eV/f.u.: 0.67
Magnetization, μB/f.u.: 0.73

***

An optimized crystal structure of La6Sn2CO. Source: Alexandria via LeMat-Bulk, functional GGA-PBE.

```
La6Sn2CO
1.0
0.0000 5.1383 5.1383
5.1383 0.0000 5.1383
5.1383 5.1383 0.0000
La Sn C O
6 2 1 1
Direct
0.2487 0.2487 0.7513
0.2487 0.7513 0.2487
0.2487 0.7513 0.7513
0.7513 0.2487 0.2487
0.7513 0.2487 0.7513
0.7513 0.7513 0.2487
0.2500 0.2500 0.2500
0.7500 0.7500 0.7500
0.0000 0.0000 0.0000
0.5000 0.5000 0.5000
```

Space-group type: No. 225
Energy relative to the elements, uncorrected, eV/f.u.: -10.53
Magnetization, μB/f.u.: 0.00

***

An optimized crystal structure of LaTeCO2. Source: Alexandria via LeMat-Bulk, functional GGA-PBE.

```
LaTeCO2
1.0
4.3659 0.0000 0.0000
0.0000 4.3659 0.0000
0.0000 0.0000 4.2390
La Te C O
1 1 1 2
Direct
0.0000 0.0000 0.0000
0.5000 0.5000 0.0000
0.5000 0.5000 0.5000
0.0000 0.5000 0.5000
0.5000 0.0000 0.5000
```

Space-group type: No. 123
Energy relative to the elements, uncorrected, eV/f.u.: 0.00
Magnetization, μB/f.u.: 0.00

***

An optimized crystal structure of La2TiCO. Source: Alexandria via LeMat-Bulk, functional GGA-PBE.

```
La2TiCO
1.0
5.2195 0.0000 0.0000
0.0000 5.2195 0.0000
0.0000 0.0000 3.8776
La Ti C O
2 1 1 1
Direct
0.0000 0.5000 0.0000
0.5000 0.0000 0.0000
0.0000 0.0000 0.0000
0.0000 0.0000 0.5000
0.5000 0.5000 0.5000
```

Space-group type: No. 123
Energy relative to the elements, uncorrected, eV/f.u.: 0.60
Magnetization, μB/f.u.: 0.00

***

An optimized crystal structure of LaYCO. Source: Alexandria via LeMat-Bulk, functional GGA-PBE.

```
LaYCO
1.0
-1.6405 1.6896 6.1235
1.6405 -1.6896 6.1235
1.6405 1.6896 -6.1235
La Y C O
1 1 1 1
Direct
0.0000 0.0000 0.0000
0.7533 0.2533 0.5000
0.3374 0.8374 0.5000
0.5918 0.5918 0.0000
```

Space-group type: No. 44
Energy relative to the elements, uncorrected, eV/f.u.: -4.64
Magnetization, μB/f.u.: 0.00

***

An optimized crystal structure of LaZn3C4O12. Source: Alexandria via LeMat-Bulk, functional GGA-PBE.

```
LaZn3C4O12
1.0
4.8628 2.8076 2.7504
-4.8628 2.8076 2.7504
0.0000 -5.6151 2.7504
La Zn C O
1 3 4 12
Direct
0.0000 0.0000 0.0000
0.0000 0.5426 0.4574
0.4574 0.0000 0.5426
0.5426 0.4574 0.0000
0.0471 0.5000 0.9529
0.5000 0.5000 0.5000
0.5000 0.9529 0.0471
0.9529 0.0471 0.5000
0.0369 0.6263 0.8115
0.0872 0.9128 0.5000
0.1885 0.3737 0.9631
0.3653 0.6347 0.5000
0.3737 0.9631 0.1885
0.5000 0.0872 0.9128
0.5000 0.3653 0.6347
0.6263 0.8115 0.0369
0.6347 0.5000 0.3653
0.8115 0.0369 0.6263
0.9128 0.5000 0.0872
0.9631 0.1885 0.3737
```

Space-group type: No. 155
Energy relative to the elements, uncorrected, eV/f.u.: -30.91
Magnetization, μB/f.u.: 0.00

***

An optimized crystal structure of LaOsC2. Source: Alexandria via LeMat-Bulk, functional GGA-PBE.

```
LaOsC2
1.0
-2.4649 2.4649 5.5852
2.4649 -2.4649 5.5852
2.4649 2.4649 -5.5852
La Os C
2 2 4
Direct
0.0000 0.0000 0.0000
0.7500 0.2500 0.5000
0.2500 0.7500 0.5000
0.5000 0.5000 0.0000
0.2720 0.6250 0.1470
0.3750 0.5220 0.6470
0.4780 0.1250 0.8530
0.8750 0.7280 0.3530
```

Formation energy, eV/atom: 0.23
Space-group type: No. 122
Magnetization, μB/f.u.: 0.00

***

An optimized crystal structure of La2OsC2. Source: Alexandria via LeMat-Bulk, functional GGA-PBE.

```
La2OsC2
1.0
5.8130 -2.7440 0.0000
5.8130 2.7440 0.0000
-3.7216 0.0000 5.9567
La Os C
4 2 4
Direct
0.0403 0.0403 0.2900
0.3140 0.3140 0.8698
0.6860 0.6860 0.1302
0.9597 0.9597 0.7100
0.3658 0.3658 0.3659
0.6342 0.6342 0.6341
0.1809 0.1809 0.1051
0.4922 0.4922 0.7106
0.5078 0.5078 0.2894
0.8191 0.8191 0.8949
```

Formation energy, eV/atom: -0.17
Space-group type: No. 12
Magnetization, μB/f.u.: 0.00
Energy above the most stable polymorph in this dataset, kJ per mole of atoms: 6.0

***

An optimized crystal structure of LaOsC2. Source: Alexandria via LeMat-Bulk, functional GGA-PBE.

```
LaOsC2
1.0
4.1796 0.0000 0.0000
0.0000 2.3881 3.1124
0.0000 -2.3881 3.1124
La Os C
1 1 2
Direct
0.0000 0.0000 0.0000
0.5000 0.6117 0.6117
0.5000 0.1417 0.4384
0.5000 0.4384 0.1417
```

Formation energy, eV/atom: -0.07
Space-group type: No. 38
Magnetization, μB/f.u.: 0.00

***

An optimized crystal structure of La3OsC. Source: Alexandria via LeMat-Bulk, functional GGA-PBE.

```
La3OsC
1.0
5.0308 0.0000 0.0000
0.0000 5.0308 0.0000
0.0000 0.0000 5.0308
La Os C
3 1 1
Direct
0.0000 0.0000 0.5000
0.0000 0.5000 0.0000
0.5000 0.0000 0.0000
0.5000 0.5000 0.5000
0.0000 0.0000 0.0000
```

Formation energy, eV/atom: 0.31
Space-group type: No. 221
Magnetization, μB/f.u.: 0.00
Energy above the most stable polymorph in this dataset, kJ per mole of atoms: 0.0

***

An optimized crystal structure of LaOsC2. Source: Alexandria via LeMat-Bulk, functional GGA-PBE.

```
LaOsC2
1.0
1.6854 0.9731 5.5351
-1.6854 0.9731 5.5351
0.0000 -1.9462 5.5351
La Os C
1 1 2
Direct
0.0000 0.0000 0.0000
0.5000 0.5000 0.5000
0.2265 0.2265 0.2265
0.7735 0.7735 0.7735
```

Formation energy, eV/atom: 0.44
Space-group type: No. 166
Magnetization, μB/f.u.: 0.00